# 1
# TiCoMo PBE optimized geometry
data_TiCoMo
_chemical_formula_sum 'Ti2 Co2 Mo2'
_symmetry_space_group_name_H-M 'P 1 21/m 1'
_symmetry_Int_Tables_number 11
_symmetry_space_group_name_Hall '-P 2yb'
_cell_length_a 3.1683
_cell_length_b 3.1888
_cell_length_c 8.6979
_cell_angle_alpha 90.00
_cell_angle_beta 100.36
_cell_angle_gamma 90.00
loop_
_atom_site_label
_atom_site_type_symbol
_atom_site_fract_x
_atom_site_fract_y
_atom_site_fract_z
Ti1 Ti 0.1083 0.2500 0.2124
Co1 Co 0.4501 0.2500 0.9054
Mo1 Mo 0.2902 0.2500 0.5819
# M_tot (μB per cell): 0.00
# ΔE_f (eV per atom): -0.1240

# 2
# Cr2RhCl PBE optimized geometry
data_Cr2RhCl
_chemical_formula_sum 'Cr8 Rh4 Cl4'
_symmetry_space_group_name_H-M 'F m -3 m'
_symmetry_Int_Tables_number 225
_symmetry_space_group_name_Hall '-F 4 2 3'
_cell_length_a 5.9673
_cell_length_b 5.9673
_cell_length_c 5.9673
_cell_angle_alpha 90.00
_cell_angle_beta 90.00
_cell_angle_gamma 90.00
loop_
_atom_site_label
_atom_site_type_symbol
_atom_site_fract_x
_atom_site_fract_y
_atom_site_fract_z
Cr1 Cr 0.2500 0.2500 0.2500
Rh1 Rh 0.0000 0.0000 0.0000
Cl1 Cl 0.0000 0.0000 0.5000
# M_tot (μB per cell): 6.42
# Formation energy (no corrections) (eV per atom): 0.74

# 3
# Rb5AgSn6 PBE optimized geometry
data_Rb5AgSn6
_chemical_formula_sum 'Rb10 Ag2 Sn12'
_symmetry_space_group_name_H-M 'C 1 2/m 1'
_symmetry_Int_Tables_number 12
_symmetry_space_group_name_Hall '-C 2y'
_cell_length_a 7.4096
_cell_length_b 14.6925
_cell_length_c 10.1058
_cell_angle_alpha 90.00
_cell_angle_beta 108.03
_cell_angle_gamma 90.00
loop_
_atom_site_label
_atom_site_type_symbol
_atom_site_fract_x
_atom_site_fract_y
_atom_site_fract_z
Rb1 Rb 0.0000 0.0000 0.0000
Rb2 Rb 0.0000 0.1493 0.5000
Rb3 Rb 0.0000 0.2703 0.0000
Ag1 Ag 0.0000 0.5000 0.5000
Sn1 Sn 0.1022 0.5000 0.1662
Sn2 Sn 0.1421 0.3885 0.7213
# M_tot (μB per cell): 0.00
# ΔE_f (eV per atom): -0.1189

# 4
# Zn2CuPd9 PBE optimized geometry
data_Zn2CuPd9
_chemical_formula_sum 'Zn2 Cu1 Pd9'
_symmetry_space_group_name_H-M 'P 4/m m m'
_symmetry_Int_Tables_number 123
_symmetry_space_group_name_Hall '-P 4 2'
_cell_length_a 3.9074
_cell_length_b 3.9074
_cell_length_c 11.7584
_cell_angle_alpha 90.00
_cell_angle_beta 90.00
_cell_angle_gamma 90.00
loop_
_atom_site_label
_atom_site_type_symbol
_atom_site_fract_x
_atom_site_fract_y
_atom_site_fract_z
Zn1 Zn 0.0000 0.0000 0.1661
Cu1 Cu 0.0000 0.0000 0.5000
Pd1 Pd 0.0000 0.5000 0.0000
Pd2 Pd 0.0000 0.5000 0.3350
Pd3 Pd 0.5000 0.5000 0.1682
Pd4 Pd 0.5000 0.5000 0.5000
# M_tot (μB per cell): 0.00
# ΔE_f (eV per atom): -0.2131

# 5
# LaPr2Co PBE optimized geometry
data_LaPr2Co
_chemical_formula_sum 'La1 Pr2 Co1'
_symmetry_space_group_name_H-M 'P 4/m m m'
_symmetry_Int_Tables_number 123
_symmetry_space_group_name_Hall '-P 4 2'
_cell_length_a 3.5548
_cell_length_b 3.5548
_cell_length_c 9.3720
_cell_angle_alpha 90.00
_cell_angle_beta 90.00
_cell_angle_gamma 90.00
loop_
_atom_site_label
_atom_site_type_symbol
_atom_site_fract_x
_atom_site_fract_y
_atom_site_fract_z
La1 La 0.0000 0.0000 0.0000
Pr1 Pr 0.5000 0.5000 0.3211
Co1 Co 0.0000 0.0000 0.5000
# M_tot (μB per cell): 0.94
# ΔE_f (eV per atom): 0.0709

# 6
# LiFe3Mo PBE optimized geometry
data_LiFe3Mo
_chemical_formula_sum 'Li1 Fe3 Mo1'
_symmetry_space_group_name_H-M 'P m -3 m'
_symmetry_Int_Tables_number 221
_symmetry_space_group_name_Hall '-P 4 2 3'
_cell_length_a 4.5049
_cell_length_b 4.5049
_cell_length_c 4.5049
_cell_angle_alpha 90.00
_cell_angle_beta 90.00
_cell_angle_gamma 90.00
loop_
_atom_site_label
_atom_site_type_symbol
_atom_site_fract_x
_atom_site_fract_y
_atom_site_fract_z
Li1 Li 0.0000 0.0000 0.0000
Fe1 Fe 0.0000 0.5000 0.5000
Mo1 Mo 0.5000 0.5000 0.5000
# M_tot (μB per cell): 4.99
# ΔE_f (eV per atom): 1.3006

Copy entry 1 word for word.
# TiCoMo PBE optimized geometry
data_TiCoMo
_chemical_formula_sum 'Ti2 Co2 Mo2'
_symmetry_space_group_name_H-M 'P 1 21/m 1'
_symmetry_Int_Tables_number 11
_symmetry_space_group_name_Hall '-P 2yb'
_cell_length_a 3.1683
_cell_length_b 3.1888
_cell_length_c 8.6979
_cell_angle_alpha 90.00
_cell_angle_beta 100.36
_cell_angle_gamma 90.00
loop_
_atom_site_label
_atom_site_type_symbol
_atom_site_fract_x
_atom_site_fract_y
_atom_site_fract_z
Ti1 Ti 0.1083 0.2500 0.2124
Co1 Co 0.4501 0.2500 0.9054
Mo1 Mo 0.2902 0.2500 0.5819
# M_tot (μB per cell): 0.00
# ΔE_f (eV per atom): -0.1240

Q: The highest M_tot belongs to which entry?
A: Cr2RhCl